Record 1
This record from the Alexandria database describes a relaxed TiGa2Pd2 crystal. The functional is PBE.

Summary:
Mass density, g/cm3: 7.96

a b c (Å): 3.650 3.650 6.779
angles (deg): 74.38 74.38 90.00
Atoms (fractional coordinates):
Ga (0.250, 0.750, 0.500)
Ti (0.000, 0.000, 0.000)
Pd (0.397, 0.397, 0.206)
Ga (0.750, 0.250, 0.500)
Pd (0.603, 0.603, 0.794)

---

Record 2
This record from the Alexandria database describes a relaxed Ti2Ga3Pd4 crystal. The functional is PBE.

Summary:
Mass density, g/cm3: 8.70

a b c (Å): 4.461 4.456 8.102
angles (deg): 90.12 89.94 59.97
Atoms (fractional coordinates):
Pd (0.666, 0.668, 0.889)
Ga (0.667, 0.666, 0.566)
Ti (0.333, 0.334, 0.777)
Ti (0.667, 0.666, 0.223)
Pd (0.334, 0.332, 0.111)
Pd (0.001, 0.000, 0.672)
Pd (0.999, 0.000, 0.328)
Ga (0.000, 0.000, 0.000)
Ga (0.333, 0.334, 0.434)

---

Number 1: E_tot -5.19 eV per atom, V 16.7 Å³/atom. Number 2: E_tot -5.62 eV per atom, V 15.5 Å³/atom.